Computed, not measured: a relaxed NdY3Er5 crystal at the PBE level of DFT.

Geometry as POSCAR:
```
NdY3Er5
1.0
6.037 0.000 0.000
-3.019 8.946 -3.406
0.000 -0.677 11.334
Nd Y Er
2 6 10
direct
0.934 0.000 0.750 Nd
0.066 0.000 0.250 Nd
0.000 0.000 0.000 Y
0.412 0.355 0.360 Y
0.000 0.000 0.500 Y
0.588 0.645 0.640 Y
0.943 0.355 0.860 Y
0.057 0.645 0.140 Y
0.435 0.000 0.750 Er
0.581 0.660 0.972 Er
0.901 0.324 0.193 Er
0.419 0.340 0.028 Er
0.577 0.676 0.307 Er
0.565 0.000 0.250 Er
0.079 0.660 0.472 Er
0.921 0.340 0.528 Er
0.423 0.324 0.693 Er
0.099 0.676 0.807 Er
```

Calculated values
Energy relative to the elements: 343 meV per atom
Magnetic moment: 0.027 μB/atom
Energy above the lowest structure with this stoichiometry: 0.0 meV/atom
Space-group type: C2/c



Computed, not measured: a relaxed Mn3ZnBi crystal at the PBE level of DFT.

Geometry as POSCAR:
```
Mn3ZnBi
1.0
4.686 0.000 0.000
0.000 4.686 0.000
0.000 0.000 4.686
Zn Mn Bi
1 3 1
direct
0.000 0.000 0.000 Zn
0.000 0.500 0.000 Mn
0.000 0.000 0.500 Mn
0.500 0.000 0.000 Mn
0.500 0.500 0.500 Bi
```

Calculated values
Energy relative to the elements: 663 meV per atom
Magnetic moment: 2.330 μB/atom
Energy above the lowest structure with this stoichiometry: 0.0 meV/atom
Space-group type: Pm-3m



Computed, not measured: a relaxed Ce4Zn5Ge6 crystal at the PBE level of DFT.

Geometry as POSCAR:
```
Ce4Zn5Ge6
1.0
-3.358 -2.717 0.255
3.350 -1.538 -8.997
9.419 -11.131 5.410
Ce Zn Ge
8 10 12
direct
0.967 0.934 0.261 Ce
0.033 0.066 0.761 Ce
0.168 0.336 0.302 Ce
0.832 0.664 0.802 Ce
0.825 0.649 0.446 Ce
0.175 0.351 0.946 Ce
0.023 0.045 0.499 Ce
0.977 0.955 0.999 Ce
0.434 0.869 0.683 Zn
0.566 0.131 0.183 Zn
0.152 0.304 0.626 Zn
0.848 0.696 0.126 Zn
0.650 0.300 0.479 Zn
0.350 0.700 0.979 Zn
0.300 0.600 0.624 Zn
0.700 0.400 0.124 Zn
0.345 0.690 0.275 Zn
0.655 0.310 0.775 Zn
0.775 0.551 0.264 Ge
0.432 0.864 0.406 Ge
0.780 0.559 0.987 Ge
0.220 0.441 0.487 Ge
0.440 0.880 0.854 Ge
0.560 0.120 0.354 Ge
0.431 0.862 0.130 Ge
0.569 0.138 0.630 Ge
0.110 0.220 0.118 Ge
0.890 0.780 0.618 Ge
0.568 0.136 0.906 Ge
0.225 0.449 0.764 Ge
```

Calculated values
Energy relative to the elements: -512 meV per atom
Magnetic moment: 0.217 μB/atom
Space-group type: Cmc2_1



Computed, not measured: a relaxed HoTiPt2 crystal at the PBE level of DFT.

Geometry as POSCAR:
```
HoTiPt2
1.0
-0.145 2.975 -1.180
-4.746 -0.443 -0.536
-0.661 1.724 4.427
Ho Pt Ti
1 2 1
direct
0.500 0.500 0.500 Ho
0.000 0.000 0.500 Pt
0.000 0.500 0.000 Pt
0.500 0.000 0.000 Ti
```

Calculated values
Energy relative to the elements: -917 meV per atom
Magnetic moment: 0.019 μB/atom
Energy above the lowest structure with this stoichiometry: 95.4 meV/atom
Space-group type: P4/mmm



Computed, not measured: a relaxed Pr10Ho6Er crystal at the PBE level of DFT.

Geometry as POSCAR:
```
Pr10Ho6Er
1.0
6.948 0.000 0.000
0.000 8.561 -4.943
0.000 0.000 9.885
Pr Ho Er
10 6 1
direct
0.817 0.726 0.726 Pr
0.817 0.000 0.274 Pr
0.817 0.274 0.000 Pr
0.183 0.274 0.274 Pr
0.183 0.000 0.726 Pr
0.183 0.726 0.000 Pr
0.500 0.333 0.667 Pr
0.500 0.667 0.333 Pr
0.000 0.667 0.333 Pr
0.000 0.333 0.667 Pr
0.687 0.368 0.368 Ho
0.687 0.000 0.632 Ho
0.687 0.632 0.000 Ho
0.313 0.632 0.632 Ho
0.313 0.000 0.368 Ho
0.313 0.368 0.000 Ho
0.500 0.000 0.000 Er
```

Calculated values
Energy relative to the elements: 126 meV per atom
Magnetic moment: 0.000 μB/atom
Space-group type: P-31m



Computed, not measured: a relaxed NaTePt2F crystal at the PBE level of DFT.

Geometry as POSCAR:
```
NaTePt2F
1.0
4.708 0.000 0.000
0.000 4.028 0.000
0.000 0.000 4.708
Na Te Pt F
1 1 2 1
direct
0.000 0.500 0.000 Na
0.500 0.500 0.500 Te
0.000 0.000 0.500 Pt
0.500 0.000 0.000 Pt
0.000 0.000 0.000 F
```

Calculated values
Magnetic moment: 0.000 μB/atom
Formation energy without anion corrections: -0.1888 eV/atom
Space-group type: P4/mmm



Computed, not measured: a relaxed CuHgAu2 crystal at the PBE level of DFT.

Geometry as POSCAR:
```
CuHgAu2
1.0
-2.958 0.130 -0.566
-1.971 0.033 2.280
-1.274 9.257 0.758
Cu Hg Au
1 1 2
direct
0.667 0.667 0.000 Cu
0.500 0.500 0.500 Hg
0.073 0.073 0.781 Au
0.260 0.260 0.219 Au
```

Calculated values
Energy relative to the elements: 75 meV per atom
Magnetic moment: 0.000 μB/atom
Space-group type: R3m



Computed, not measured: a relaxed CeSm2ErAs4 crystal at the PBE level of DFT.

Geometry as POSCAR:
```
CeSm2ErAs4
1.0
-0.566 -1.853 3.705
6.752 -2.573 -0.255
0.015 6.478 3.242
Ce Sm Er As
1 2 1 4
direct
0.500 0.500 0.000 Ce
0.500 0.000 0.500 Sm
0.000 0.500 0.500 Sm
0.000 0.000 0.000 Er
0.500 0.246 0.243 As
0.500 0.754 0.757 As
0.000 0.249 0.755 As
0.000 0.751 0.245 As
```

Calculated values
Energy relative to the elements: -1500 meV per atom
Magnetic moment: 0.066 μB/atom
Space-group type: P2/m



Computed, not measured: a relaxed Bi2AuO5 crystal at the PBE level of DFT.

Geometry as POSCAR:
```
Bi2AuO5
1.0
6.275 0.000 2.320
2.509 7.933 2.860
-0.225 -0.164 10.254
Bi Au O
8 4 20
direct
0.482 0.046 0.693 Bi
0.687 0.132 0.957 Bi
0.776 0.368 0.543 Bi
0.780 0.546 0.193 Bi
0.220 0.454 0.807 Bi
0.224 0.632 0.457 Bi
0.313 0.868 0.043 Bi
0.518 0.954 0.307 Bi
0.960 0.099 0.321 Au
0.381 0.401 0.179 Au
0.619 0.599 0.821 Au
0.040 0.901 0.679 Au
0.847 0.031 0.196 O
0.096 0.154 0.440 O
0.779 0.110 0.699 O
0.382 0.185 0.147 O
0.714 0.315 0.353 O
0.375 0.137 0.889 O
0.401 0.363 0.611 O
0.074 0.469 0.304 O
0.310 0.654 0.940 O
0.588 0.390 0.801 O
0.412 0.610 0.199 O
0.690 0.346 0.060 O
0.926 0.531 0.696 O
0.599 0.637 0.389 O
0.625 0.863 0.111 O
0.286 0.685 0.647 O
0.618 0.815 0.853 O
0.221 0.890 0.301 O
0.904 0.846 0.560 O
0.153 0.969 0.804 O
```

Calculated values
Magnetic moment: 0.121 μB/atom
Formation energy without anion corrections: -0.6819 eV/atom
Energy above the lowest structure with this stoichiometry: 130.0 meV/atom
Space-group type: C2/c



Computed, not measured: a relaxed BaMgAsO4 crystal at the PBE level of DFT.

Geometry as POSCAR:
```
BaMgAsO4
1.0
-3.943 1.616 4.209
-4.561 -3.628 1.382
-0.079 -2.835 5.276
Ba Mg As O
1 1 1 4
direct
0.750 0.750 0.750 Ba
0.500 0.500 0.500 Mg
0.250 0.250 0.250 As
0.370 0.370 0.890 O
0.370 0.370 0.370 O
0.370 0.890 0.370 O
0.890 0.370 0.370 O
```

Calculated values
Magnetic moment: 0.000 μB/atom
Formation energy without anion corrections: -1.7734 eV/atom
Space-group type: F-43m



Computed, not measured: a relaxed PrDy3Tm12 crystal at the PBE level of DFT.

Geometry as POSCAR:
```
PrDy3Tm12
1.0
4.965 0.000 0.000
0.000 4.965 0.000
0.000 0.000 19.870
Pr Dy Tm
1 3 12
direct
0.000 0.000 0.000 Pr
0.000 0.000 0.251 Dy
0.000 0.000 0.500 Dy
0.000 0.000 0.749 Dy
0.500 0.500 0.000 Tm
0.500 0.500 0.252 Tm
0.500 0.500 0.500 Tm
0.500 0.500 0.748 Tm
0.500 0.000 0.127 Tm
0.500 0.000 0.376 Tm
0.500 0.000 0.624 Tm
0.500 0.000 0.873 Tm
0.000 0.500 0.127 Tm
0.000 0.500 0.376 Tm
0.000 0.500 0.624 Tm
0.000 0.500 0.873 Tm
```

Calculated values
Energy relative to the elements: 26 meV per atom
Magnetic moment: 0.000 μB/atom
Space-group type: P4/mmm



Computed, not measured: a relaxed TaSi3Pd crystal at the PBE level of DFT.

Geometry as POSCAR:
```
TaSi3Pd
1.0
-2.608 0.200 -3.769
-3.290 -2.366 2.151
-1.851 3.926 1.488
Si Pd Ta
3 1 1
direct
0.000 0.500 0.000 Si
0.000 0.000 0.500 Si
0.500 0.000 0.000 Si
0.000 0.000 0.000 Pd
0.500 0.500 0.500 Ta
```

Calculated values
Magnetic moment: 0.000 μB/atom
Formation energy without anion corrections: 1.0615 eV/atom
Space-group type: Pm-3m